Here is a geometry-optimized HRuN structure from the Alexandria database. Energies are from PBE-GGA.

The energy above the most stable polymorph in this dataset comes out at 0.177 eV/atom. Its space group is P2_1/m.

```
HRuN
1.0
-3.073 0.471 1.681
-1.933 -0.657 -3.350
2.925 -4.530 -0.799
Ru H N
2 2 2
Cartesian
-0.528 -1.307 -0.588
-1.553 -3.409 -1.881
-2.057 -1.075 0.251
-0.024 -3.640 -2.719
-0.601 -3.414 -0.132
-1.479 -1.301 -2.337
```

***

Here is a geometry-optimized H3RuN structure from the Alexandria database. Energies are from PBE-GGA.

The energy above the most stable polymorph in this dataset comes out at 0.043 eV/atom. Its space group is Pm-3m.

```
H3RuN
1.0
3.314 0.000 0.000
0.000 3.314 0.000
0.000 0.000 3.314
Ru H N
1 3 1
Cartesian
0.000 0.000 0.000
0.000 1.657 0.000
0.000 0.000 1.657
1.657 0.000 0.000
1.657 1.657 1.657
```

***

Here is a geometry-optimized HRuN2 structure from the Alexandria database. Energies are from PBE-GGA.

The energy above the most stable polymorph in this dataset comes out at 0.436 eV/atom. Its space group is I-42d.

```
HRuN2
1.0
-3.763 -1.906 0.407
1.949 -3.671 0.829
-0.927 -1.863 4.766
Ru H N
2 2 4
Cartesian
0.000 0.000 0.000
-2.799 -3.279 2.896
-0.907 -2.788 0.618
0.058 -4.161 3.106
-2.258 -2.074 1.541
0.434 -3.040 1.769
-1.333 -3.568 4.056
-2.325 -6.197 4.638
```

***

Here is a geometry-optimized HRuN3 structure from the Alexandria database. Energies are from PBE-GGA.

As for the final energy: -26.32 eV for the cell shown. Its space group is Pm-3m.

```
HRuN3
1.0
-0.996 0.716 -3.065
-3.063 -0.962 0.771
-0.726 3.076 0.955
Ru H N
1 1 3
Cartesian
-2.393 1.415 -0.670
0.000 0.000 0.000
-1.532 -0.481 0.385
-0.363 1.538 0.477
-0.498 0.358 -1.533
```

***

What is the formula in the second record?
H3RuN